# 1
Here is a crystal of ReAgCl3 relaxed with PBEsol from the Alexandria database. Energies are from meta-GGA SCAN.

Output
Its uncorrected formation energy is 0.79 eV per atom. The calculation puts the energy relative to the lowest polymorph listed for this composition at 528 meV/atom. The total magnetization is 1.16 μB per atom.

```
ReAgCl3
1.0
4.9361 0.0000 0.0000
0.0000 4.9361 0.0000
0.0000 0.0000 4.9361
Re Ag Cl
1 1 3
Direct
0.5000 0.5000 0.5000
0.0000 0.0000 0.0000
0.0000 0.5000 0.0000
0.0000 0.0000 0.5000
0.5000 0.0000 0.0000
```

***

# 2
Here is a crystal of ZrVNi relaxed with PBEsol from the Alexandria database. Energies are from meta-GGA SCAN.

Output
The calculation puts the formation energy at -264 meV/atom. The total magnetization is 0.00 μB per atom.

```
ZrVNi
1.0
4.9550 -0.0129 0.0000
-2.4230 4.3221 0.0000
0.0000 0.0000 8.2762
Zr V Ni
4 4 4
Direct
0.3261 0.6739 0.3188
0.6595 0.3405 0.1964
0.6595 0.3405 0.8036
0.3261 0.6739 0.6812
0.8505 0.1495 0.5000
0.6575 0.8353 0.0000
0.1647 0.3425 0.0000
0.1706 0.8294 0.0000
0.9968 0.0032 0.2544
0.9968 0.0032 0.7456
0.3497 0.1582 0.5000
0.8418 0.6503 0.5000
```

***

# 3
Here is a crystal of Ta4RhBr relaxed with PBEsol from the Alexandria database. Energies are from meta-GGA SCAN.

Output
Its uncorrected formation energy is 0.79 eV per atom. The total magnetization is 0.00 μB per atom.

```
Ta4RhBr
1.0
-0.7651 3.4037 -4.0948
-4.8991 2.0098 -0.9476
-1.0110 5.1934 0.9722
Br Rh Ta
1 1 4
Direct
0.7500 0.7500 0.7500
0.0000 0.0000 0.0000
0.3744 0.3744 0.3744
0.3744 0.3744 0.8768
0.8768 0.3744 0.3744
0.3744 0.8768 0.3744
```